# CsTa2In2 | Alexandria via LeMat-Bulk | PBE | relaxed
data_CsTa2In2
_chemical_formula_sum 'Cs2 Ta4 In4'
_symmetry_space_group_name_H-M 'P 4/m b m'
_symmetry_Int_Tables_number 127
_symmetry_space_group_name_Hall '-P 4 2ab'
_cell_length_a 9.307
_cell_length_b 9.307
_cell_length_c 3.030
_cell_angle_alpha 90.00
_cell_angle_beta 90.00
_cell_angle_gamma 90.00
loop_
_atom_site_label
_atom_site_type_symbol
_atom_site_fract_x
_atom_site_fract_y
_atom_site_fract_z
Cs1 Cs 0.000 0.000 0.000
Ta1 Ta 0.105 0.395 0.500
In1 In 0.175 0.675 0.000
# energy of formation = 0.72 eV per atom
# N(E_F) = 13.511 states/eV/cell
# spin magnetization = 0.0 μB/cell
# energy above the lowest structure with this stoichiometry = 3.45 kcal/mol of atoms